(1)
{
  "formula": "BaMg6Ni",
  "functional": "PBE-GGA",
  "state": "relaxed",
  "lattice_angstrom": [[-7.3403, 1.1737, 1.5949], [4.9352, -5.5075, 1.7643], [1.2948, 2.4837, 4.1314]],
  "species": ["Mg", "Mg", "Mg", "Mg", "Mg", "Mg", "Ni", "Ba"],
  "frac_coords": [[0.1608, 0.3125, 0.0000], [0.7085, 0.2915, 0.0000], [0.1246, 0.8754, 0.0000], [0.3129, 0.1999, 0.5000], [0.8001, 0.6871, 0.5000], [0.6875, 0.8392, 0.0000], [0.9100, 0.0900, 0.5000], [0.2956, 0.7044, 0.5000]],
  "dft_energy_ev_per_atom": -2.061,
  "crystal_system": "orthorhombic",
  "mass_density_g_cm3": 2.7,
  "relative_energy_ev_per_fu": 0.11
}


(2)
{
  "formula": "PaFeCoB2",
  "functional": "PBE-GGA",
  "state": "relaxed",
  "lattice_angstrom": [[-2.9460, 2.0278, -0.5485], [-2.0945, -2.9078, 0.4992], [2.3226, 1.3286, 4.3712]],
  "species": ["Fe", "B", "B", "Pa", "Co"],
  "frac_coords": [[0.7500, 0.2500, 0.5000], [0.3610, 0.3610, 0.7220], [0.6390, 0.6390, 0.2780], [0.0000, 0.0000, 0.0000], [0.2500, 0.7500, 0.5000]],
  "dft_energy_ev_per_atom": -8.196,
  "crystal_system": "tetragonal",
  "mass_density_g_cm3": 10.5
}


(3)
{
  "formula": "RbH3Au",
  "functional": "PBE-GGA",
  "state": "relaxed",
  "lattice_angstrom": [[4.4517, 0.0000, 0.0000], [0.0000, 4.4517, 0.0000], [0.0000, 0.0000, 4.4517]],
  "species": ["H", "H", "H", "Au", "Rb"],
  "frac_coords": [[0.0000, 0.0000, 0.5000], [0.5000, 0.0000, 0.0000], [0.0000, 0.5000, 0.0000], [0.5000, 0.5000, 0.5000], [0.0000, 0.0000, 0.0000]],
  "dft_energy_ev_per_atom": -1.486,
  "crystal_system": "cubic",
  "mass_density_g_cm3": 5.4,
  "relative_energy_ev_per_fu": 7.76
}


(4)
{
  "formula": "Sc2SiOs",
  "functional": "PBE-GGA",
  "state": "relaxed",
  "lattice_angstrom": [[8.8131, -0.0539, -0.0318], [8.2615, 3.0694, -0.0318], [8.2615, 1.4590, 2.7006]],
  "species": ["Sc", "Sc", "Si", "Os"],
  "frac_coords": [[0.2383, 0.2383, 0.2383], [0.0119, 0.0119, 0.0119], [0.4889, 0.4889, 0.4889], [0.7609, 0.7609, 0.7609]],
  "dft_energy_ev_per_atom": -7.417,
  "crystal_system": "trigonal",
  "mass_density_g_cm3": 6.8
}


(5)
{
  "formula": "Mg2As",
  "functional": "PBE-GGA",
  "state": "relaxed",
  "lattice_angstrom": [[-0.8567, -1.3588, -3.8275], [4.6882, -3.6214, 0.2363], [-3.4359, -4.2982, 2.2950]],
  "species": ["Mg", "Mg", "Mg", "Mg", "As", "As"],
  "frac_coords": [[0.5000, 0.2654, 0.1141], [0.0000, 0.7654, 0.3859], [0.0000, 0.2346, 0.6141], [0.5000, 0.7346, 0.8859], [0.0000, 0.0000, 0.0000], [0.5000, 0.5000, 0.5000]],
  "dft_energy_ev_per_atom": -2.926,
  "crystal_system": "orthorhombic",
  "mass_density_g_cm3": 2.8
}


(6)
{
  "formula": "CoPt2Se",
  "functional": "PBE-GGA",
  "state": "relaxed",
  "lattice_angstrom": [[8.5760, 0.0134, 0.0079], [8.0889, 2.8491, 0.0079], [8.0889, 1.3894, 2.4873]],
  "species": ["Se", "Pt", "Pt", "Co"],
  "frac_coords": [[0.4878, 0.4878, 0.4878], [0.0076, 0.0076, 0.0076], [0.2483, 0.2483, 0.2483], [0.7563, 0.7563, 0.7563]],
  "dft_energy_ev_per_atom": -5.545,
  "crystal_system": "trigonal",
  "mass_density_g_cm3": 14.5
}


| no. | total moment (μB per formula unit) |
| --- | --- |
| 1 | 0.00 |
| 2 | 0.00 |
| 3 | 0.64 |
| 4 | 0.94 |
| 5 | 0.00 |
| 6 | 1.02 |